A relaxed AcSm2Al2Ag2 crystal. Source: Alexandria, functional PBE.

Structure (POSCAR):
```
AcSm2Al2Ag2
1.0
-0.5228 3.0212 3.6480
2.4541 -0.6806 4.0278
7.7176 6.1192 -0.8493
Al Sm Ag Ac
2 2 2 1
Cartesian
2.3451 2.0643 1.7389
7.3038 6.3956 5.0875
4.6738 4.4105 6.3546
4.9752 4.0494 0.4719
6.7453 5.6797 2.4879
2.9037 2.7802 4.3386
0.0000 0.0000 0.0000
```

Summary:
ρ (g/cm³): 7.1
V (Å³ per cell): 186.7

=====

A relaxed AcAlAgSn crystal. Source: Alexandria, functional PBE.

Structure (POSCAR):
```
AcAlAgSn
1.0
5.2727 0.0000 0.0000
2.6363 4.5663 0.0000
2.6363 1.5221 4.3051
Al Ag Ac Sn
1 1 1 1
Cartesian
2.6363 1.5221 1.0763
7.9090 4.5663 3.2288
0.0000 0.0000 0.0000
5.2727 3.0442 2.1526
```

Summary:
ρ (g/cm³): 7.7
V (Å³ per cell): 103.7

=====

A relaxed Ac2Al4Ag3Sn crystal. Source: Alexandria, functional PBE.

Structure (POSCAR):
```
Ac2Al4Ag3Sn
1.0
4.5418 0.0000 0.0000
0.0000 4.5418 0.0000
0.0000 0.0000 11.2708
Ac Al Sn Ag
2 4 1 3
Cartesian
2.2709 0.0000 2.7513
0.0000 2.2709 8.5196
0.0000 2.2709 4.0035
0.0000 0.0000 0.0000
2.2709 0.0000 7.2673
2.2709 2.2709 0.0000
2.2709 2.2709 5.6354
0.0000 2.2709 1.4152
2.2709 0.0000 9.8556
0.0000 0.0000 5.6354
```

Summary:
ρ (g/cm³): 7.2
V (Å³ per cell): 232.5

=====

A relaxed AcAl2AgSn crystal. Source: Alexandria, functional PBE.

Structure (POSCAR):
```
AcAl2AgSn
1.0
4.6483 0.0000 0.0000
0.0000 4.6101 0.0022
-2.3242 -2.3024 5.6402
Sn Ag Al Ac
1 1 2 1
Cartesian
2.3242 2.3073 3.7211
0.0000 2.3032 2.0469
0.0000 0.0002 0.7912
2.3242 0.0048 2.0989
0.0000 0.0011 5.0202
```

Summary:
ρ (g/cm³): 7.0
V (Å³ per cell): 120.9

=====

A relaxed Ac2AlAg4Sn3 crystal. Source: Alexandria, functional PBE.

Structure (POSCAR):
```
Ac2AlAg4Sn3
1.0
4.6764 0.0000 0.0000
0.0000 4.6764 0.0000
0.0000 0.0000 11.5279
Ac Sn Ag Al
2 3 4 1
Cartesian
2.3382 0.0000 2.8836
0.0000 2.3382 8.6442
2.3382 0.0000 9.9639
0.0000 0.0000 5.7639
0.0000 2.3382 1.5640
0.0000 2.3382 4.2928
2.3382 0.0000 7.2350
0.0000 0.0000 0.0000
2.3382 2.3382 0.0000
2.3382 2.3382 5.7639
```

Summary:
ρ (g/cm³): 8.4
V (Å³ per cell): 252.1

=====

A relaxed AcThAlAg crystal. Source: Alexandria, functional PBE.

Structure (POSCAR):
```
AcThAlAg
1.0
5.4429 0.0000 0.0000
2.7215 4.7137 0.0000
2.7215 1.5712 4.4441
Ac Ag Th Al
1 1 1 1
Cartesian
0.0000 0.0000 0.0000
2.7215 1.5712 1.1110
5.4429 3.1425 2.2221
8.1644 4.7137 3.3331
```

Summary:
ρ (g/cm³): 8.6
V (Å³ per cell): 114.0

=====

A relaxed Ac2Al3TlAg4 crystal. Source: Alexandria, functional PBE.

Structure (POSCAR):
```
Ac2Al3TlAg4
1.0
4.6249 0.0000 0.0000
0.0000 4.6249 0.0000
0.0000 0.0000 11.1551
Ag Al Tl Ac
4 3 1 2
Cartesian
0.0000 2.3124 3.9274
2.3124 0.0000 7.2278
2.3124 2.3124 0.0000
0.0000 0.0000 0.0000
2.3124 0.0000 9.8192
0.0000 0.0000 5.5776
0.0000 2.3124 1.3359
2.3124 2.3124 5.5776
2.3124 0.0000 2.6838
0.0000 2.3124 8.4713
```

Summary:
ρ (g/cm³): 8.1
V (Å³ per cell): 238.6

=====

A relaxed AcYAlAg crystal. Source: Alexandria, functional PBE.

Structure (POSCAR):
```
AcYAlAg
1.0
5.4138 0.0000 0.0000
2.7069 4.6885 0.0000
2.7069 1.5628 4.4204
Ac Ag Y Al
1 1 1 1
Cartesian
2.7069 1.5628 1.1051
0.0000 0.0000 0.0000
8.1207 4.6885 3.3153
5.4138 3.1257 2.2102
```

Summary:
ρ (g/cm³): 6.7
V (Å³ per cell): 112.2

=====

A relaxed AcAl2ZnAg crystal. Source: Alexandria, functional PBE.

Structure (POSCAR):
```
AcAl2ZnAg
1.0
4.5848 0.0000 0.0000
0.0000 4.5848 0.0000
-2.2924 -2.2924 5.3032
Ac Al Ag Zn
1 2 1 1
Cartesian
0.0000 0.0000 0.0000
0.0000 0.0000 3.9902
2.2924 2.2924 1.3130
0.0000 2.2924 2.6516
2.2924 0.0000 2.6516
```

Summary:
ρ (g/cm³): 6.8
V (Å³ per cell): 111.5

=====

A relaxed Ac2Al4Zn3Ag crystal. Source: Alexandria, functional PBE.

Structure (POSCAR):
```
Ac2Al4Zn3Ag
1.0
-1.6910 3.1850 2.6365
-3.3635 0.5970 -2.8785
-5.8718 -7.5078 5.3038
Al Ag Ac Zn
4 1 2 3
Cartesian
-2.5272 1.8910 -0.1210
-3.8635 -2.4911 0.5315
-4.5355 -3.1256 4.6513
0.0000 0.0000 0.0000
-5.4631 -1.8629 2.5309
-6.0911 -5.3394 2.5436
-2.3079 -0.2774 2.6392
-2.9359 -3.7539 2.6519
-5.9357 -4.9160 5.9161
-2.4633 -0.7008 -0.7333
```

Summary:
ρ (g/cm³): 6.6
V (Å³ per cell): 217.7

=====

A relaxed Ac2AlZn4Ag3 crystal. Source: Alexandria, functional PBE.

Structure (POSCAR):
```
Ac2AlZn4Ag3
1.0
-4.0708 -1.5388 0.9955
1.8300 -3.2818 2.4107
-0.2489 6.5417 9.0947
Ag Zn Ac Al
3 4 2 1
Cartesian
-2.2511 4.9001 8.3797
0.8818 -0.7686 2.4180
-0.1244 3.2709 4.5473
0.0000 0.0000 0.0000
0.8227 0.7855 4.5786
-2.1920 3.3459 6.2191
-1.1204 -2.4103 1.7031
0.7288 3.2556 8.0127
-2.0980 0.8758 2.7850
-1.2448 0.8606 6.2504
```

Summary:
ρ (g/cm³): 7.9
V (Å³ per cell): 223.3

=====

A relaxed Ac2AlZn3Ag4 crystal. Source: Alexandria, functional PBE.

Structure (POSCAR):
```
Ac2AlZn3Ag4
1.0
4.5049 0.0000 0.0000
0.0000 4.5049 0.0000
0.0000 0.0000 11.1354
Al Zn Ag Ac
1 3 4 2
Cartesian
2.2524 2.2524 5.5677
0.0000 0.0000 5.5677
0.0000 2.2524 1.4718
2.2524 0.0000 9.6636
2.2524 2.2524 0.0000
2.2524 0.0000 7.0072
0.0000 0.0000 0.0000
0.0000 2.2524 4.1282
2.2524 0.0000 2.8394
0.0000 2.2524 8.2960
```

Summary:
ρ (g/cm³): 8.1
V (Å³ per cell): 226.0

=====

Number 1: formation energy from the elements -2.02 eV/f.u.. Number 2: formation energy from the elements -0.73 eV/f.u.. Number 3: formation energy from the elements -3.74 eV/f.u.. Number 4: formation energy from the elements -1.85 eV/f.u.. Number 5: formation energy from the elements -4.10 eV/f.u.. Number 6: formation energy from the elements -0.42 eV/f.u.. Number 7: formation energy from the elements -2.75 eV/f.u.. Number 8: formation energy from the elements -0.99 eV/f.u.. Number 9: formation energy from the elements -1.75 eV/f.u.. Number 10: formation energy from the elements -3.70 eV/f.u.. Number 11: formation energy from the elements -2.65 eV/f.u.. Number 12: formation energy from the elements -2.58 eV/f.u..